This record from Alexandria via LeMat-Bulk describes an optimized crystal structure of LiMnO7. The functional is GGA+U.

Geometry as extended XYZ:
```
18
Lattice="3.6791 -6.3725 0.0000 3.6791 6.3725 0.0000 0.0000 0.0000 5.4886" Properties=species:S:1:pos:R:3 pbc="T T T"
O 6.1484 -0.6985 1.2280
O 5.0033 -2.8886 3.6929
O 3.6791 -4.9755 1.2280
O 2.3550 2.8886 0.9486
O 1.2098 -0.6985 1.2280
O 3.6791 -0.5952 3.6929
O 3.6791 -2.1242 0.3586
O 3.6791 2.1242 3.1029
O 6.1484 0.6985 3.9723
O 3.6791 0.5952 0.9486
O 3.6791 4.9755 3.9723
O 5.0033 2.8886 0.9486
O 1.2098 0.6985 3.9723
O 2.3550 -2.8886 3.6929
Mn 3.6791 -2.1242 4.2325
Mn 3.6791 2.1242 1.4882
Li 0.0000 0.0000 5.3464
Li 0.0000 0.0000 2.6021
```

Results
For the final energy, the calculation gives -4.573 eV per atom.